KSr2Ir (PBE, relaxed); ρ = 5.34 g cm⁻³; magnetic moment = 0.00 μB/atom; crystal system = tetragonal; polymorph energy (0 for the lowest one) = 0.364 eV/atom; DFT total energy = -2.962 eV per atom
1.0
-3.776 4.394 -6.535
1.450 -5.077 0.012
-4.091 -1.175 -1.572
Ir K Sr
1 1 2
Direct
0.000 0.500 0.500
0.500 0.500 0.000
0.000 0.000 0.000
0.500 0.000 0.500



Mg6ZnAg2 (PBE, relaxed); ρ = 3.43 g cm⁻³; magnetic moment = 0.00 μB/atom; crystal system = orthorhombic; polymorph energy (0 for the lowest one) = 0.092 eV/atom; DFT total energy = -1.855 eV per atom
1.0
4.478 0.000 -0.172
0.000 6.559 0.000
-1.974 -3.279 7.109
Mg Zn Ag
6 1 2
Direct
0.166 0.408 0.331
0.834 0.077 0.669
0.834 0.592 0.669
0.500 0.253 0.000
0.166 0.923 0.331
0.500 0.747 0.000
0.000 0.000 0.000
0.667 0.667 0.333
0.333 0.333 0.667



ErMgZrMn (PBE, relaxed); ρ = 6.57 g cm⁻³; magnetic moment = 0.48 μB/atom; crystal system = cubic; DFT total energy = -5.821 eV per atom
1.0
-1.304 4.484 1.615
-4.687 1.510 -0.417
-2.819 0.450 4.034
Mg Mn Zr Er
1 1 1 1
Direct
0.000 0.000 0.000
0.500 0.500 0.500
0.750 0.750 0.750
0.250 0.250 0.250



BaCaBiS2 (PBE, relaxed); ρ = 3.67 g cm⁻³; E_form (uncorrected) = -0.08 eV per atom; magnetic moment = 0.00 μB/atom; crystal system = tetragonal; DFT total energy = -3.292 eV per atom
1.0
5.708 0.000 0.000
0.000 6.254 0.000
0.000 0.000 5.708
S Ca Bi Ba
2 1 1 1
Direct
0.000 0.000 0.500
0.500 0.000 0.000
0.500 0.500 0.500
0.000 0.500 0.000
0.000 0.000 0.000



What did the third record say?
ErMgZrMn (PBE, relaxed); ρ = 6.57 g cm⁻³; magnetic moment = 0.48 μB/atom; crystal system = cubic; DFT total energy = -5.821 eV per atom
1.0
-1.304 4.484 1.615
-4.687 1.510 -0.417
-2.819 0.450 4.034
Mg Mn Zr Er
1 1 1 1
Direct
0.000 0.000 0.000
0.500 0.500 0.500
0.750 0.750 0.750
0.250 0.250 0.250



- What is the formula in the fourth record?
  BaCaBiS2